Run A
The following is a GGA-PBEsol calculation of a geometry-optimized Sr2NiCl structure, from Alexandria.

Total moment: 0.00 μB per atom
Crystal system: cubic
Volume: 99.5 Å³/cell
Fermi-level density of states: 0.618 states/eV per atom

a b c (Å): 5.2010 5.2010 5.2010
angles (deg): 60.00 60.00 60.00
With the nearest neighbours (Å) after each atom.
Element x y z (fractional)
Sr: 0.2500 0.2500 0.2500  4 Ni 3.18, 4 Cl 3.18
Sr: 0.7500 0.7500 0.7500  4 Cl 3.18, 4 Ni 3.18
Cl: 0.0000 0.0000 0.0000  8 Sr 3.18
Ni: 0.5000 0.5000 0.5000  8 Sr 3.18


Run B
The following is a GGA-PBEsol calculation of a geometry-optimized Sr2NiCl structure, from Alexandria.

Total moment: 0.00 μB per atom
Crystal system: tetragonal
Volume: 108.4 Å³/cell
Fermi-level density of states: 0.644 states/eV per atom

a b c (Å): 4.2632 4.2632 5.9653
angles (deg): 90.00 90.00 90.00
With the nearest neighbours (Å) after each atom.
Element x y z (fractional)
Sr: 0.0000 0.0000 0.5000  2 Cl 2.98, 4 Ni 3.01
Sr: 0.5000 0.5000 0.0000  2 Ni 2.98, 4 Cl 3.01
Cl: 0.0000 0.0000 0.0000  6 Sr 2.98-3.01
Ni: 0.5000 0.5000 0.5000  6 Sr 2.98-3.01


Relative to the most stable structure, the computed energies are run A 195; run B 0, all in meV/atom.


Run A
The following is a GGA-PBEsol calculation of a geometry-optimized TaNiCl2 structure, from Alexandria.

Total moment: 0.00 μB per atom
Crystal system: monoclinic
Volume: 74.2 Å³/cell
Fermi-level density of states: 0.636 states/eV per atom

a b c (Å): 3.0895 3.2294 7.6213
angles (deg): 102.49 90.00 90.00
With the nearest neighbours (Å) after each atom.
Element x y z (fractional)
Ni: 0.0000 0.4451 0.5184  4 Cl 2.55, 4 Ta 2.56-2.57
Cl: 0.0000 0.1615 0.9413  2 Ta 2.44
Cl: 0.5000 0.8615 0.3526  1 Ta 2.49, 4 Ni 2.55
Ta: 0.5000 0.0319 0.6877  3 Cl 2.44-2.49, 4 Ni 2.56-2.57


Run B
The following is a GGA-PBEsol calculation of a geometry-optimized TaNiCl2 structure, from Alexandria.

Total moment: 0.00 μB per atom
Crystal system: monoclinic
Volume: 77.8 Å³/cell
Fermi-level density of states: 0.302 states/eV per atom

a b c (Å): 3.0342 3.6114 8.0360
angles (deg): 78.61 79.12 65.16
With the nearest neighbours (Å) after each atom.
Element x y z (fractional)
Ni: 0.5276 0.4588 0.4861  3 Cl 2.29-2.41, 3 Ta 2.32-2.53
Cl: 0.9003 0.1382 0.0611  2 Ta 2.43
Cl: 0.7631 0.8253 0.6486  3 Ni 2.29-2.41
Ta: 0.3090 0.0777 0.3042  3 Ni 2.32-2.53, 2 Cl 2.43


Relative to the most stable structure, the computed energies are run A 0; run B 128, all in meV/atom.


Run A
The following is a GGA-PBEsol calculation of a geometry-optimized Ni2TeCl structure, from Alexandria.

Total moment: 0.00 μB per atom
Crystal system: tetragonal
Volume: 64.2 Å³/cell
Fermi-level density of states: 0.696 states/eV per atom

a b c (Å): 3.1869 3.1869 6.3224
angles (deg): 90.00 90.00 90.00
With the nearest neighbours (Å) after each atom.
Element x y z (fractional)
Ni: 0.0000 0.0000 0.7771  4 Te 2.66, 1 Ni 2.82, 4 Cl 2.85
Ni: 0.0000 0.0000 0.2229  4 Te 2.66, 1 Ni 2.82, 4 Cl 2.85
Te: 0.5000 0.5000 0.0000  8 Ni 2.66
Cl: 0.5000 0.5000 0.5000  8 Ni 2.85, 2 Te 3.16, 4 Cl 3.19


Run B
The following is a GGA-PBEsol calculation of a geometry-optimized Ni2TeCl structure, from Alexandria.

Total moment: 0.00 μB per atom
Crystal system: trigonal
Volume: 72.8 Å³/cell
Fermi-level density of states: 0.983 states/eV per atom

a b c (Å): 3.5996 3.5996 6.8110
angles (deg): 74.68 74.68 60.00
With the nearest neighbours (Å) after each atom.
Element x y z (fractional)
Ni: 0.0100 0.0100 0.9699  3 Cl 2.35, 3 Ni 2.39
Ni: 0.7370 0.7370 0.7889  3 Ni 2.39, 3 Te 2.41
Te: 0.4665 0.4665 0.6006  3 Ni 2.41
Cl: 0.2865 0.2865 0.1406  3 Ni 2.35


Relative to the most stable structure, the computed energies are run A 373; run B 0, all in meV/atom.